Computed, not measured: crystalline Ac3Sc2MoO9 at its relaxed geometry at the PBE+U level of DFT.

Summary:
The value obtained for the electronic total energy is -8.214 eV/atom.

Geometry as CIF:
```
data_Ac3Sc2MoO9
_cell_length_a 5.8467
_cell_length_b 5.8467
_cell_length_c 7.1795
_cell_angle_alpha 90.00
_cell_angle_beta 90.00
_cell_angle_gamma 120.00
_symmetry_space_group_name_H-M 'P -3 m 1'
_symmetry_Int_Tables_number 164
_symmetry_space_group_name_Hall '-P 3 2"'
loop_
_atom_site_label
_atom_site_type_symbol
_atom_site_fract_x
_atom_site_fract_y
_atom_site_fract_z
_atom_site_occupancy
Ac1 Ac 0.0000 0.0000 0.0000 1
Ac2 Ac 0.3333 0.6667 0.6691 1
Sc1 Sc 0.3333 0.6667 0.1656 1
Mo1 Mo 0.0000 0.0000 0.5000 1
O1 O 0.0000 0.5000 0.0000 1
O2 O 0.1677 0.3353 0.3299 1
```